NaAcCuO4 PBE optimized geometry; formation energy (no corrections) = -1.514 eV per atom; total moment = 1.400 μB per formula unit; calculated volume = 234.8 Å³ per cell; space-group type = P2_1/m
1.0
6.062 0.000 0.000
0.000 5.366 0.000
-0.207 0.000 7.220
Na Ac Cu O
2 2 2 8
direct
0.136 0.250 0.490
0.864 0.750 0.510
0.235 0.250 0.965
0.765 0.750 0.035
0.280 0.750 0.251
0.720 0.250 0.749
0.060 0.514 0.240
0.060 0.986 0.240
0.350 0.750 0.985
0.443 0.250 0.668
0.557 0.750 0.332
0.650 0.250 0.015
0.940 0.014 0.760
0.940 0.486 0.760